VASP calculation (PBE-GGA) on a relaxed structure of NbIr3N.

Unit cell a=4.1279 b=4.1279 c=4.1279 alpha=90.00 beta=90.00 gamma=90.00
Last column: nearest neighbours and their distance in Å.
Atoms (fractional coordinates):
N1 0.0000 0.0000 0.0000  6 Ir 2.06
Ir1 0.0000 0.0000 0.5000  2 N 2.06
Ir2 0.0000 0.5000 0.0000  2 N 2.06
Ir3 0.5000 0.0000 0.0000  2 N 2.06
Nb1 0.5000 0.5000 0.5000  12 Ir 2.92

Results
Formation energy (no corrections): 429 meV per atom
Energy above the most stable polymorph in this dataset: 0.00 kcal/mol of atoms
DOS at the Fermi energy: 6.27 states/eV per cell

***

VASP calculation (PBE-GGA) on a relaxed structure of Ac4CdAuN.

Unit cell a=7.3965 b=7.6644 c=9.0524 alpha=90.00 beta=107.29 gamma=90.00
Last column: nearest neighbours and their distance in Å.
Atoms (fractional coordinates):
Ac1 0.4223 0.7500 0.5772  1 N 2.42
Ac2 0.5775 0.2500 0.8655  1 N 2.40
Ac3 0.0057 0.9922 0.2675  1 N 2.45
Ac4 0.9943 0.0078 0.7325  1 N 2.45
Ac5 0.9943 0.4922 0.7325  1 N 2.45
Ac6 0.0057 0.5078 0.2675  1 N 2.45
Ac7 0.4225 0.7500 0.1345  1 N 2.40
Ac8 0.5777 0.2500 0.4228  1 N 2.42
N1 0.2323 0.7500 0.3086  4 Ac 2.40-2.45
N2 0.7677 0.2500 0.6914  4 Ac 2.40-2.45
Au1 0.7807 0.7500 0.4506  6 Ac 3.19-3.27
Au2 0.2193 0.2500 0.5494  6 Ac 3.19-3.27
Cd1 0.2380 0.2500 0.0622  6 Ac 3.48-3.52
Cd2 0.7620 0.7500 0.9378  6 Ac 3.48-3.52

Results
Formation energy (no corrections): -606 meV per atom
DOS at the Fermi energy: 14.82 states/eV per cell

***

VASP calculation (PBE-GGA) on a relaxed structure of SbTe2As.

Unit cell a=4.3385 b=5.2923 c=5.2929 alpha=72.06 beta=90.00 gamma=90.00
Last column: nearest neighbours and their distance in Å.
Atoms (fractional coordinates):
As1 0.5000 0.2500 0.2500  4 Te 2.99, 2 Sb 3.11
Sb1 0.5000 0.7500 0.7500  4 Te 3.11, 2 As 3.11
Te1 0.0000 0.4898 0.4898  2 As 2.99, 2 Sb 3.11, 2 Te 3.12
Te2 0.0000 0.0102 0.0102  2 As 2.99, 2 Sb 3.11, 2 Te 3.12

Results
Formation energy (no corrections): 81 meV per atom
Energy above the most stable polymorph in this dataset: 0.60 kcal/mol of atoms
DOS at the Fermi energy: 2.36 states/eV per cell

***

VASP calculation (PBE-GGA) on a relaxed structure of La5DyTm2.

Unit cell a=15.1544 b=15.1544 c=8.3069 alpha=65.74 beta=65.74 gamma=127.61
Last column: nearest neighbours and their distance in Å.
Atoms (fractional coordinates):
La1 0.0039 0.8716 0.6094  2 La 3.05-3.13, 1 Tm 3.41
La2 0.1284 0.9961 0.8906  2 La 3.05-3.13, 1 Tm 3.41
La3 0.3787 0.6213 0.2500  4 La 3.13-3.15
La4 0.1706 0.4786 0.1642  3 La 3.04-3.15, 1 Tm 3.23
La5 0.5214 0.8294 0.3358  3 La 3.04-3.15, 1 Tm 3.23
La6 0.9961 0.1284 0.3906  2 La 3.05-3.13, 1 Tm 3.41
La7 0.8294 0.5214 0.8358  3 La 3.04-3.15, 1 Tm 3.23
La8 0.4786 0.1706 0.6642  3 La 3.04-3.15, 1 Tm 3.23
La9 0.8716 0.0039 0.1094  2 La 3.05-3.13, 1 Tm 3.41
La10 0.6213 0.3787 0.7500  4 La 3.13-3.15
Tm1 0.5000 0.5000 0.5000  4 La 3.41-3.56
Tm2 0.5000 0.5000 0.0000  4 La 3.41-3.56
Tm3 0.5000 0.0000 0.0000  2 Tm 3.21, 2 La 3.23, 2 Dy 3.52
Tm4 0.0000 0.5000 0.5000  2 Tm 3.21, 2 La 3.23, 2 Dy 3.52
Dy1 0.7904 0.2096 0.2500  2 Tm 3.52, 2 La 3.72, 2 Dy 3.89
Dy2 0.2096 0.7904 0.7500  2 Tm 3.52, 2 La 3.72, 2 Dy 3.89

Results
E_form: 0.221 eV per atom
Energy above the most stable polymorph in this dataset: 2.06 kcal/mol of atoms
DOS at the Fermi energy: 22.18 states/eV per cell